No. 1
Cd3NiC, optimized geometry, DFT PBE-GGA; energy above the lowest structure with this stoichiometry = 0.0 meV per atom; ΔE_f = 4.87 eV per formula unit
1.0
4.5057 0.0000 0.0000
0.0000 4.5057 0.0000
0.0000 0.0000 4.5057
Cd C Ni
3 1 1
Direct
0.0000 0.5000 0.0000
0.5000 0.0000 0.0000
0.0000 0.0000 0.5000
0.0000 0.0000 0.0000
0.5000 0.5000 0.5000

***

No. 2
SnBi4S7, optimized geometry, DFT PBE-GGA; formation energy (no corrections) = -0.334 eV per atom
1.0
3.9784 0.0000 0.0000
-1.9892 6.5827 -1.5844
0.0000 0.2030 11.9409
Sn Bi S
1 4 7
Direct
0.8708 0.7417 0.5608
0.1163 0.2325 0.4363
0.3109 0.6218 0.1878
0.9994 0.9988 0.0001
0.6853 0.3706 0.8195
0.2546 0.5092 0.6385
0.9550 0.9101 0.2196
0.6573 0.3146 0.0436
0.5092 0.0184 0.5083
0.7468 0.4936 0.3487
0.0457 0.0914 0.7816
0.3487 0.6975 0.9553

***

No. 3
Nb3NiTe6, optimized geometry, DFT PBE-GGA; formation energy (no corrections) = -0.184 eV per atom
1.0
-1.0420 5.8728 -2.7034
-7.0410 -3.1234 -4.0714
-3.7329 2.7356 7.3817
Te Nb Ni
12 6 2
Direct
0.1730 0.7031 0.6382
0.1730 0.3618 0.2969
0.2293 0.0941 0.5297
0.1229 0.0573 0.9427
0.6730 0.6382 0.7031
0.6747 0.2320 0.7680
0.1747 0.7680 0.2320
0.7293 0.5297 0.0941
0.7293 0.9059 0.4703
0.6730 0.2969 0.3618
0.6229 0.9427 0.0573
0.2293 0.4703 0.9059
0.9766 0.7480 0.9431
0.8699 0.6007 0.3993
0.4766 0.9431 0.7480
0.9766 0.0569 0.2520
0.3699 0.3993 0.6007
0.4766 0.2520 0.0569
0.0602 0.2491 0.7509
0.5602 0.7509 0.2491

***

No. 4
AcDyAg2Se4, optimized geometry, DFT PBE-GGA; formation energy (no corrections) = -1.133 eV per atom
1.0
-2.6311 -3.4592 5.6426
2.0410 -6.0598 1.7318
3.0526 -0.0642 5.8791
Se Ag Dy Ac
4 2 1 1
Direct
0.0967 0.9083 0.4572
0.4621 0.0917 0.5428
0.9033 0.5428 0.0917
0.5379 0.4572 0.9083
0.1688 0.3312 0.3312
0.8312 0.6688 0.6688
0.5000 0.5000 0.5000
0.0000 0.0000 0.0000

***

No. 5
MgAl2Si, optimized geometry, DFT PBE-GGA; formation energy (no corrections) = 0.063 eV per atom
1.0
4.0523 0.0000 0.0000
0.0000 4.0522 0.0000
0.0000 0.0000 4.1457
Al Mg Si
2 1 1
Direct
0.5000 0.5000 0.0000
0.0000 0.0000 0.0000
0.5000 0.0000 0.5000
0.0000 0.5000 0.5000

***

No. 6
BaSc2Ru, optimized geometry, DFT PBE-GGA; energy above the lowest structure with this stoichiometry = 255.9 meV per atom; ΔE_f = 0.35 eV per formula unit
1.0
-4.1028 4.8227 -0.0119
-3.8761 0.1181 -5.0053
1.9552 -3.0008 5.2215
Ba Ru Sc
1 1 2
Direct
0.7500 0.2500 0.5000
0.2500 0.7500 0.5000
0.4319 0.4319 0.0000
0.0681 0.0681 0.0000

***

No. 7
SiRhBr2, optimized geometry, DFT PBE-GGA; formation energy (no corrections) = -0.080 eV per atom; energy above the lowest structure with this stoichiometry = 109.0 meV per atom
1.0
6.0685 -0.0062 0.1669
5.0194 3.4105 0.1669
-0.1686 -0.0518 5.0942
Si Rh Br
1 1 2
Direct
0.7540 0.7540 0.7519
0.3738 0.3738 0.7487
0.3198 0.3198 0.2488
0.0524 0.0524 0.7507

***

No. 8
DyPu2Tc9, optimized geometry, DFT PBE-GGA; ΔE_f = 0.73 eV per formula unit
1.0
-2.8235 -4.2808 0.9642
2.3861 -4.4898 1.1727
-0.4116 -0.7640 9.5190
Pu Tc Dy
2 9 1
Direct
0.8544 0.8544 0.4369
0.1456 0.1456 0.5631
0.3354 0.3354 0.9938
0.0779 0.5842 0.7537
0.5000 0.5000 0.5000
0.6646 0.6646 0.0062
0.4158 0.9221 0.2463
0.4158 0.4158 0.2463
0.9221 0.4158 0.2463
0.5842 0.5842 0.7537
0.5842 0.0779 0.7537
0.0000 0.0000 0.0000

***

No. 9
KMnSe, optimized geometry, DFT PBE-GGA; formation energy (no corrections) = 0.040 eV per atom; energy above the lowest structure with this stoichiometry = 404.1 meV per atom
1.0
4.9208 0.0000 0.0000
2.4604 4.2615 0.0000
2.4604 1.4205 4.0178
K Se Mn
1 1 1
Direct
0.0000 0.0000 0.0000
0.7500 0.7500 0.7500
0.5000 0.5000 0.5000

***

No. 10
Sc6HgP2S3, optimized geometry, DFT PBE-GGA; formation energy (no corrections) = -1.479 eV per atom
1.0
3.7326 0.0000 0.0000
0.0000 7.6688 0.2239
-1.8663 -2.2632 7.9396
P S Sc Hg
2 3 6 1
Direct
0.8343 0.6684 0.6687
0.1657 0.3316 0.3313
0.5000 0.5000 0.0000
0.8340 0.1695 0.6680
0.1660 0.8305 0.3320
0.3290 0.4249 0.6580
0.9995 0.7240 0.9991
0.3243 0.9046 0.6486
0.6757 0.0954 0.3514
0.6710 0.5751 0.3420
0.0005 0.2760 0.0009
0.5000 0.0000 0.0000

***

no.,size of the total moment (μB per formula unit)
1,0.0
2,0.0
3,0.0
4,0.0
5,0.0
6,0.0
7,0.0
8,9.2
9,4.4
10,0.0